# 1
Material: EuMnS2
Method: DFT, PBE-GGA
State: relaxed

abc: 3.9417 3.9417 18.8317
angles: 90.00 90.00 120.00
Space group R-3m (No. 166, hexagonal axes)
Symmetry-distinct sites (fractional):
Eu (0.0000, 0.0000, 0.0000) x3
Mn (0.0000, 0.0000, 0.5000) x3
S (0.0000, 0.0000, 0.2394) x6

Computed properties:
Energy relative to the elements, uncorrected, meV per atom: -1259
Total energy, eV per atom: -8.183

# 2
Material: EuMnS3
Method: DFT, PBE-GGA
State: relaxed

abc: 4.6467 4.6467 4.6467
angles: 90.00 90.00 90.00
Space group Pm-3m (No. 221)
Symmetry-distinct sites (fractional):
Eu (0.0000, 0.0000, 0.0000) x1
Mn (0.5000, 0.5000, 0.5000) x1
S (0.0000, 0.5000, 0.5000) x3

Computed properties:
Energy relative to the elements, uncorrected, meV per atom: -990
Total energy, eV per atom: -7.355

# 3
Material: EuSc3Mn
Method: DFT, PBE-GGA
State: relaxed

abc: 5.0085 5.0085 5.0085
angles: 90.00 90.00 90.00
Space group Pm-3m (No. 221)
Symmetry-distinct sites (fractional):
Eu (0.0000, 0.0000, 0.0000) x1
Sc (0.0000, 0.5000, 0.5000) x3
Mn (0.5000, 0.5000, 0.5000) x1

Computed properties:
Energy of formation, eV/atom: 0.119
Total energy, eV per atom: -7.568

# 4
Material: EuMnSe2
Method: DFT, PBE-GGA
State: relaxed

abc: 4.5553 4.5553 23.2641
angles: 90.00 90.00 120.00
Space group R-3m (No. 166, hexagonal axes)
Symmetry-distinct sites (fractional):
Eu (0.0000, 0.0000, 0.0000) x3
Mn (0.0000, 0.0000, 0.5000) x3
Se (0.0000, 0.0000, 0.3989) x6

Computed properties:
Energy relative to the elements, uncorrected, meV per atom: -897
Total energy, eV per atom: -7.501

# 5
Material: Eu3Mn5Se12
Method: DFT, PBE-GGA
State: relaxed

abc: 15.8834 15.8834 15.8834
angles: 90.00 90.00 90.00
Space group Ia-3d (No. 230)
Symmetry-distinct sites (fractional):
Eu (0.0000, 0.2500, 0.1250) x24
Mn (0.0000, 0.0000, 0.0000) x16
Mn (0.0000, 0.2500, 0.3750) x24
Se (0.0306, 0.0560, 0.6463) x96

Computed properties:
Energy relative to the elements, uncorrected, meV per atom: -810
Total energy, eV per atom: -6.734

# 6
Material: EuMnSn2
Method: DFT, PBE-GGA
State: relaxed

abc: 4.4957 4.4957 17.7147
angles: 90.00 90.00 120.00
Space group R-3m (No. 166, hexagonal axes)
Symmetry-distinct sites (fractional):
Eu (0.0000, 0.0000, 0.0000) x3
Mn (0.0000, 0.0000, 0.5000) x3
Sn (0.0000, 0.0000, 0.2212) x6

Computed properties:
Energy of formation, eV/atom: -0.247
Total energy, eV per atom: -7.110

# 7
Material: Tb2EuMn
Method: DFT, PBE-GGA
State: relaxed

abc: 3.4315 3.4315 35.1234
angles: 90.00 90.00 120.00
Space group R-3m (No. 166, hexagonal axes)
Symmetry-distinct sites (fractional):
Tb (0.0000, 0.0000, 0.0782) x6
Eu (0.0000, 0.0000, 0.5000) x3
Mn (0.0000, 0.0000, 0.0000) x3

Computed properties:
Energy of formation, eV/atom: 0.593
Total energy, eV per atom: -6.583

# 8
Material: Eu3Mn5Te12
Method: DFT, PBE-GGA
State: relaxed

abc: 17.1561 17.1561 17.1561
angles: 90.00 90.00 90.00
Space group Ia-3d (No. 230)
Symmetry-distinct sites (fractional):
Eu (0.0000, 0.2500, 0.1250) x24
Mn (0.0000, 0.0000, 0.0000) x16
Mn (0.0000, 0.2500, 0.3750) x24
Te (0.0302, 0.0581, 0.6457) x96

Computed properties:
Energy relative to the elements, uncorrected, meV per atom: -495
Total energy, eV per atom: -6.214